First-principles (PBE-GGA) data for a geometry-optimized HfMgS2N structure, as listed in Alexandria via LeMat-Bulk.

The structure belongs to space group P4/mmm (No. 123); the cell edges are 4.703, 4.703 and 3.802 Å and the angles 90.00°, 90.00° and 90.00°. The distinct sites, in fractional coordinates, are Hf at (0.000, 0.000, 0.000), Mg at (0.500, 0.500, 0.500), S at (0.000, 0.500, 0.500) and N at (0.500, 0.500, 0.000).

The value obtained for the mass density is 5.55 g cm⁻³. For the total energy, the calculation gives -5.433 eV per atom. The calculated volume is 16.81 A^3/atom. The energy above the most stable polymorph in this dataset is 0.7193 eV per atom. The calculation puts the formation energy (no corrections) at 0.193 eV/atom.